A) Computed, not measured: NaI2N after structural relaxation at the PBE-GGA level of DFT.

Total moment in μB per cell: 0.0

a = 7.3518 Å, b = 7.3518 Å, c = 7.3450 Å
α = 59.97°, β = 59.97°, γ = 90.00°
Atoms (fractional coordinates):
1 I 0.3751 0.1250 0.2500
2 I 0.3749 0.6250 0.2500
3 I 0.3750 0.6249 0.7500
4 I 0.8750 0.6251 0.7500
5 Na 0.0000 0.0000 0.0000
6 Na 0.7500 0.2500 0.5000
7 N 0.5000 0.5000 0.0000
8 N 0.2500 0.7500 0.5000

B) Computed, not measured: NaI2N after structural relaxation at the PBE-GGA level of DFT.

Total moment in μB per cell: 2.3

a = 5.5059 Å, b = 5.5059 Å, c = 5.5059 Å
α = 60.00°, β = 60.00°, γ = 60.00°
Each line ends with the local moment (μB).
Atoms (fractional coordinates):
1 I 0.2500 0.2500 0.2500  -0.11
2 I 0.7500 0.7500 0.7500  -0.11
3 Na 0.5000 0.5000 0.5000  0.00
4 N 0.0000 0.0000 0.0000  1.77

Name the most stable of them. A).

A) Computed, not measured: NaI2N2 after structural relaxation at the PBE-GGA level of DFT.

Total moment in μB per cell: 5.3

a = 4.8000 Å, b = 4.8000 Å, c = 6.7695 Å
α = 90.00°, β = 90.00°, γ = 90.00°
Each line ends with the local moment (μB).
Atoms (fractional coordinates):
1 I 0.5000 0.5000 0.5000  0.05
2 I 0.0000 0.0000 0.5000  0.04
3 Na 0.0000 0.0000 0.0000  0.01
4 N 0.0000 0.5000 0.0000  1.68
5 N 0.5000 0.0000 0.0000  1.68

B) Computed, not measured: NaI2N2 after structural relaxation at the PBE-GGA level of DFT.

Total moment in μB per cell: 7.0

a = 6.0207 Å, b = 6.0207 Å, c = 5.2556 Å
α = 90.00°, β = 90.00°, γ = 90.00°
Each line ends with the local moment (μB).
Atoms (fractional coordinates):
1 I 0.0000 0.5000 0.0000  0.42
2 I 0.5000 0.0000 0.0000  0.42
3 Na 0.0000 0.0000 0.0000  0.00
4 N 0.5000 0.5000 0.5000  1.92
5 N 0.0000 0.0000 0.5000  1.85

Name the most stable of them. A).

A) Computed, not measured: NaI2N2 after structural relaxation at the PBE-GGA level of DFT.

Total moment in μB per cell: 1.4

a = 4.2138 Å, b = 4.2138 Å, c = 8.1859 Å
α = 90.00°, β = 90.00°, γ = 90.00°
Each line ends with the local moment (μB).
Atoms (fractional coordinates):
1 I 0.0000 0.0000 0.0000  -0.01
2 I 0.0000 0.0000 0.5000  0.00
3 Na 0.5000 0.5000 0.5000  0.00
4 N 0.0000 0.5000 0.0000  0.48
5 N 0.5000 0.0000 0.0000  0.48

B) Computed, not measured: NaI2N2 after structural relaxation at the PBE-GGA level of DFT.

Total moment in μB per cell: 1.0

a = 5.6617 Å, b = 4.6326 Å, c = 17.4196 Å
α = 130.63°, β = 90.00°, γ = 127.67°
Each line ends with the local moment (μB).
Atoms (fractional coordinates):
1 Na 0.0000 0.0000 0.0000  0.00
2 I 0.6764 0.3528 0.1450  0.32
3 I 0.3236 0.6472 0.8550  0.32
4 N 0.1275 0.2549 0.5346  0.00
5 N 0.8725 0.7451 0.4654  0.00

Name the most stable of them. B).

A) Computed, not measured: Na2IN2 after structural relaxation at the PBE-GGA level of DFT.

Total moment in μB per cell: 0.0

a = 3.2960 Å, b = 3.2960 Å, c = 8.7569 Å
α = 79.15°, β = 79.15°, γ = 90.00°
Atoms (fractional coordinates):
1 I 0.0000 0.0000 0.0000
2 Na 0.3543 0.3543 0.2915
3 Na 0.6457 0.6457 0.7085
4 N 0.7500 0.2500 0.5000
5 N 0.2500 0.7500 0.5000

B) Computed, not measured: Na2IN2 after structural relaxation at the PBE-GGA level of DFT.

Total moment in μB per cell: 0.0

a = 5.1548 Å, b = 5.1548 Å, c = 5.5116 Å
α = 62.12°, β = 62.12°, γ = 90.00°
Atoms (fractional coordinates):
1 I 0.0000 0.0000 0.0000
2 Na 0.7500 0.2500 0.5000
3 Na 0.2500 0.7500 0.5000
4 N 0.4294 0.4294 0.1412
5 N 0.5706 0.5706 0.8588

Name the most stable of them. B).

A) Computed, not measured: Na2IN2 after structural relaxation at the PBE-GGA level of DFT.

Total moment in μB per cell: 1.0

a = 4.1996 Å, b = 4.5686 Å, c = 7.4147 Å
α = 68.65°, β = 73.55°, γ = 62.64°
Each line ends with the local moment (μB).
Atoms (fractional coordinates):
1 Na 0.2446 0.2300 0.2808  0.02
2 Na 0.7554 0.7700 0.7192  0.02
3 I 0.0000 0.0000 0.0000  0.00
4 N 0.5766 0.3756 0.4713  0.27
5 N 0.4234 0.6244 0.5287  0.27

B) Computed, not measured: Na2IN2 after structural relaxation at the PBE-GGA level of DFT.

Total moment in μB per cell: 1.1

a = 6.3544 Å, b = 6.3544 Å, c = 3.7761 Å
α = 90.00°, β = 90.00°, γ = 90.00°
Each line ends with the local moment (μB).
Atoms (fractional coordinates):
1 I 0.0000 0.0000 0.0000  -0.02
2 I 0.5000 0.5000 0.0000  -0.02
3 Na 0.1388 0.6388 0.5000  0.00
4 Na 0.6388 0.8612 0.5000  0.00
5 Na 0.8612 0.3612 0.5000  0.00
6 Na 0.3612 0.1388 0.5000  0.00
7 N 0.3201 0.8201 0.0000  0.22
8 N 0.8201 0.6799 0.0000  0.20
9 N 0.6799 0.1799 0.0000  0.22
10 N 0.1799 0.3201 0.0000  0.20

Name the most stable of them. A).

A) Computed, not measured: NaI3N after structural relaxation at the PBE-GGA level of DFT.

Total moment in μB per cell: 5.0

a = 6.1240 Å, b = 6.1240 Å, c = 6.1240 Å
α = 90.00°, β = 90.00°, γ = 90.00°
Each line ends with the local moment (μB).
Atoms (fractional coordinates):
1 I 0.0000 0.5000 0.0000  0.50
2 I 0.0000 0.0000 0.5000  0.39
3 I 0.5000 0.0000 0.0000  0.42
4 Na 0.0000 0.0000 0.0000  0.00
5 N 0.5000 0.5000 0.5000  1.93

B) Computed, not measured: NaI3N after structural relaxation at the PBE-GGA level of DFT.

Total moment in μB per cell: 0.0

a = 5.1700 Å, b = 5.1700 Å, c = 5.1700 Å
α = 90.00°, β = 90.00°, γ = 90.00°
Atoms (fractional coordinates):
1 I 0.0000 0.5000 0.0000
2 I 0.0000 0.0000 0.5000
3 I 0.5000 0.0000 0.0000
4 Na 0.5000 0.5000 0.5000
5 N 0.0000 0.0000 0.0000

Name the most stable of them. B).